No. 1
Below is a geometry-optimized NbCo4Tc structure, with properties calculated at the GGA-PBE level.

Results
Total DFT energy (no corrections), eV per cell: -49.24
Formation energy from the elements, meV per atom: -63

a = 4.741 Å, b = 4.741 Å, c = 4.741 Å
α = 60.00°, β = 60.00°, γ = 60.00°
Sites, in units of the cell vectors:
Nb: 0.000 0.000 0.000
Co: 0.375 0.375 0.375
Co: 0.375 0.375 0.875
Co: 0.375 0.875 0.375
Co: 0.875 0.375 0.375
Tc: 0.750 0.750 0.750


No. 2
Below is a geometry-optimized NbCoTc3 structure, with properties calculated at the GGA-PBE level.

Results
Total DFT energy (no corrections), eV per cell: -37.51
Energy above the most stable polymorph in this dataset, eV per formula unit: 5.17
Formation energy from the elements, meV per atom: 2152

a = 4.646 Å, b = 4.646 Å, c = 4.646 Å
α = 90.00°, β = 90.00°, γ = 90.00°
Sites, in units of the cell vectors:
Nb: 0.000 0.000 0.000
Co: 0.500 0.500 0.500
Tc: 0.000 0.000 0.500
Tc: 0.000 0.500 0.000
Tc: 0.500 0.000 0.000